Density functional theory data (GGA-PBE) for an optimized crystal structure of AcCeEr.

As for the energy of formation: 0.13 eV per atom. The calculation puts the calculated volume at 207.9 Å³/cell. As for the crystal system: tetragonal.

The structure belongs to space group I4mm (No. 107); the cell edges are 3.6972, 3.6972 and 15.2073 Å and the angles 90.00°, 90.00° and 90.00°. The distinct sites, in fractional coordinates, are Ac at (0.0000, 0.0000, 0.0000), Ce at (0.0000, 0.0000, 0.3306) and Er at (0.0000, 0.0000, 0.6792).